# 1
# Pr2AlSi2Rh5

A relaxed Pr2AlSi2Rh5 crystal (PBE, the Alexandria database).

Values from the calculation:
* formation energy (no corrections): -0.85 eV per atom
* total energy: -0.51019 Ry per atom
* density: 8.5 g/cm³

Cell: 3.475 9.963 9.963 Å, 90.00 90.00 90.00°
Element x y z (fractional)
1 Pr 0.000 0.676 0.176
2 Pr 0.000 0.324 0.824
3 Pr 0.000 0.176 0.324
4 Pr 0.000 0.824 0.676
5 Al 0.000 0.000 0.000
6 Al 0.000 0.500 0.500
7 Si 0.000 0.122 0.622
8 Si 0.000 0.878 0.378
9 Si 0.000 0.622 0.878
10 Si 0.000 0.378 0.122
11 Rh 0.500 0.214 0.067
12 Rh 0.500 0.786 0.933
13 Rh 0.500 0.067 0.786
14 Rh 0.500 0.714 0.433
15 Rh 0.500 0.933 0.214
16 Rh 0.500 0.286 0.567
17 Rh 0.500 0.567 0.714
18 Rh 0.500 0.433 0.286
19 Rh 0.500 0.500 0.000
20 Rh 0.500 0.000 0.500

---

# 2
# Sn2Ir2Rh

A relaxed Sn2Ir2Rh crystal (PBE, the Alexandria database).

Values from the calculation:
* total energy: -0.48364 Ry per atom
* density: 13.7 g/cm³

Cell: 7.583 7.583 3.063 Å, 90.00 90.00 90.00°
Element x y z (fractional)
1 Ir 0.366 0.866 0.000
2 Ir 0.866 0.634 0.000
3 Ir 0.634 0.134 0.000
4 Ir 0.134 0.366 0.000
5 Rh 0.000 0.000 0.000
6 Rh 0.500 0.500 0.000
7 Sn 0.167 0.667 0.500
8 Sn 0.667 0.833 0.500
9 Sn 0.833 0.333 0.500
10 Sn 0.333 0.167 0.500

---

# 3
# TiAgMoAu2

A relaxed TiAgMoAu2 crystal (PBE, the Alexandria database).

Values from the calculation:
* total energy: -0.34496 Ry per atom
* density: 9.7 g/cm³

Cell: 4.992 4.425 4.992 Å, 90.00 90.00 90.00°
Each line ends with the local moment (μB).
Element x y z (fractional)
1 Mo 0.000 0.500 0.000  0.70
2 Au 0.000 0.000 0.500  0.00
3 Au 0.500 0.000 0.000  -0.01
4 Ag 0.500 0.500 0.500  0.00
5 Ti 0.000 0.000 0.000  -0.11

---

# 4
# ZnC3

A relaxed ZnC3 crystal (PBE, the Alexandria database).

Values from the calculation:
* total energy: -0.37863 Ry per atom
* energy relative to the lowest polymorph listed for this composition: 1.633 eV/atom
* density: 5.4 g/cm³

Cell: 5.596 5.596 5.596 Å, 26.63 26.63 26.63°
Element x y z (fractional)
1 Zn 0.000 0.000 0.000
2 C 0.776 0.776 0.776
3 C 0.500 0.500 0.500
4 C 0.224 0.224 0.224

---

# 5
# Pm2Sn2Pd

A relaxed Pm2Sn2Pd crystal (PBE, the Alexandria database).

Values from the calculation:
* total energy: -0.38338 Ry per atom
* energy relative to the lowest polymorph listed for this composition: 0.168 eV/atom
* density: 7.4 g/cm³

Cell: 6.456 6.722 8.058 Å, 114.65 113.61 90.00°
Element x y z (fractional)
1 Pm 0.870 0.665 0.739
2 Pm 0.130 0.335 0.261
3 Pm 0.630 0.926 0.261
4 Pm 0.370 0.074 0.739
5 Sn 0.376 0.600 0.752
6 Sn 0.624 0.400 0.248
7 Sn 0.124 0.848 0.248
8 Sn 0.876 0.152 0.752
9 Pd 0.750 0.500 0.000
10 Pd 0.250 0.500 0.000

---

# 6
# Pr5Ho2Sc

A relaxed Pr5Ho2Sc crystal (PBE, the Alexandria database).

Values from the calculation:
* total energy: -0.35759 Ry per atom
* energy relative to the lowest polymorph listed for this composition: 0.000 eV/atom
* density: 6.7 g/cm³

Cell: 3.597 11.232 8.896 Å, 129.22 78.43 89.97°
Element x y z (fractional)
1 Pr 0.000 0.500 0.000
2 Pr 0.370 0.357 0.259
3 Pr 0.630 0.643 0.741
4 Pr 0.370 0.902 0.259
5 Pr 0.630 0.098 0.741
6 Ho 0.255 0.745 0.491
7 Ho 0.745 0.255 0.509
8 Sc 0.000 0.000 0.000

---

# 7
# OsI

A relaxed OsI crystal (PBE, the Alexandria database).

Values from the calculation:
* formation energy (no corrections): 1.01 eV per atom
* total energy: -0.39506 Ry per atom
* energy relative to the lowest polymorph listed for this composition: 0.407 eV/atom
* density: 8.5 g/cm³

Cell: 10.633 10.633 3.784 Å, 90.00 90.00 120.00°
Element x y z (fractional)
1 Os 0.004 0.436 0.250
2 Os 0.568 0.004 0.750
3 Os 0.564 0.568 0.250
4 Os 0.996 0.564 0.750
5 Os 0.432 0.996 0.250
6 Os 0.436 0.432 0.750
7 I 0.798 0.147 0.250
8 I 0.651 0.798 0.750
9 I 0.853 0.651 0.250
10 I 0.202 0.853 0.750
11 I 0.349 0.202 0.250
12 I 0.147 0.349 0.750

---

# 8
# Ta2CoBr

A relaxed Ta2CoBr crystal (PBE, the Alexandria database).

Values from the calculation:
* formation energy (no corrections): 0.45 eV per atom
* total energy: -0.56396 Ry per atom
* energy relative to the lowest polymorph listed for this composition: 0.362 eV/atom
* density: 12.7 g/cm³

Cell: 4.907 4.907 4.872 Å, 72.79 72.79 36.03°
Element x y z (fractional)
1 Br 0.512 0.512 0.540
2 Co 0.257 0.257 0.191
3 Ta 0.974 0.974 0.061
4 Ta 0.758 0.758 0.708

---

# 9
# RhWS2Cl

A relaxed RhWS2Cl crystal (PBE, the Alexandria database).

Values from the calculation:
* formation energy (no corrections): 0.59 eV per atom
* total energy: -0.40330 Ry per atom
* energy relative to the lowest polymorph listed for this composition: 0.000 eV/atom
* density: 6.2 g/cm³

Cell: 4.667 4.667 4.761 Å, 90.00 90.00 90.00°
Each line ends with the local moment (μB).
Element x y z (fractional)
1 S 0.000 0.500 0.000  0.07
2 S 0.500 0.000 0.000  0.07
3 Rh 0.500 0.500 0.500  1.38
4 W 0.000 0.000 0.000  -0.02
5 Cl 0.000 0.000 0.500  0.02

---

# 10
# LaTcNi

A relaxed LaTcNi crystal (PBE, the Alexandria database).

Values from the calculation:
* total energy: -0.52136 Ry per atom
* energy relative to the lowest polymorph listed for this composition: 0.000 eV/atom
* density: 8.0 g/cm³

Cell: 6.747 6.747 6.743 Å, 57.44 144.08 136.76°
Element x y z (fractional)
1 La 0.250 0.626 0.876
2 La 0.750 0.374 0.124
3 Ni 0.000 0.000 0.500
4 Ni 0.500 0.500 0.500
5 Tc 0.250 0.056 0.306
6 Tc 0.750 0.944 0.694

---

# 11
# SrZr2Ru

A relaxed SrZr2Ru crystal (PBE, the Alexandria database).

Values from the calculation:
* total energy: -0.47360 Ry per atom
* energy relative to the lowest polymorph listed for this composition: 0.514 eV/atom
* density: 6.9 g/cm³

Cell: 5.832 5.832 5.832 Å, 137.51 137.51 61.65°
Element x y z (fractional)
1 Ru 0.500 0.500 0.000
2 Sr 0.750 0.250 0.500
3 Zr 0.000 0.000 0.000
4 Zr 0.250 0.750 0.500

---

# 12
# Mn2GaAs

A relaxed Mn2GaAs crystal (PBE, the Alexandria database).

Values from the calculation:
* total energy: -0.47051 Ry per atom
* density: 8.3 g/cm³

Cell: 4.156 4.156 4.156 Å, 60.00 60.00 60.00°
Each line ends with the local moment (μB).
Element x y z (fractional)
1 As 0.500 0.500 0.500  -0.08
2 Mn 0.250 0.250 0.250  1.02
3 Mn 0.750 0.750 0.750  1.02
4 Ga 0.000 0.000 0.000  -0.08

---

density of number 7 (OsI)?
8.5 g/cm³